DFT (PBE) results for a geometry-optimized Zr2Bi2Pd structure.

Structure (POSCAR):
```
Zr2Bi2Pd
1.0
-5.715 -0.214 -5.176
-1.208 -7.439 1.640
-2.618 1.053 2.848
Pd Zr Bi
2 4 4
Direct
0.500 0.500 0.000
0.000 0.000 0.000
0.352 0.148 0.500
0.852 0.352 0.500
0.148 0.648 0.500
0.648 0.852 0.500
0.656 0.156 0.000
0.344 0.844 0.000
0.844 0.656 0.000
0.156 0.344 0.000
```

Values from the calculation:
Its symmetry is No. 127. As for the energy of formation: -0.15 eV per atom. The excess energy over the best structure of this formula in the dataset is 0.09 eV/f.u. The calculation puts the total energy at -61.6 eV/cell. The crystal system is tetragonal.